# YPtF3 GGA-PBE relaxed
# Raw formation energy (eV/atom): -1.116
data_YPtF3
_chemical_formula_sum 'Y1 Pt1 F3'
_space_group_name_H-M_alt 'P m -3 m'
_space_group_IT_number 221
_space_group_name_Hall '-P 4 2 3'
_cell_length_a 4.428
_cell_length_b 4.428
_cell_length_c 4.428
_cell_angle_alpha 90.00
_cell_angle_beta 90.00
_cell_angle_gamma 90.00
loop_
_atom_site_label
_atom_site_fract_x
_atom_site_fract_y
_atom_site_fract_z
Y1 0.000 0.000 0.000
Pt1 0.500 0.500 0.500
F1 0.000 0.500 0.500

=====

# Sr2HgSb GGA-PBE relaxed
# Raw formation energy (eV/atom): -0.795
data_Sr2HgSb
_chemical_formula_sum 'Sr2 Hg1 Sb1'
_space_group_name_H-M_alt 'P 4/m m m'
_space_group_IT_number 123
_space_group_name_Hall '-P 4 2'
_cell_length_a 5.465
_cell_length_b 5.465
_cell_length_c 4.399
_cell_angle_alpha 90.00
_cell_angle_beta 90.00
_cell_angle_gamma 90.00
loop_
_atom_site_label
_atom_site_fract_x
_atom_site_fract_y
_atom_site_fract_z
Sr1 0.000 0.500 0.000
Hg1 0.000 0.000 0.500
Sb1 0.500 0.500 0.500

=====

# Tl2AgPb6 GGA-PBE relaxed
# Energy relative to the elements (kJ per mole of atoms): 3.4
data_Tl2AgPb6
_chemical_formula_sum 'Tl2 Ag1 Pb6'
_space_group_name_H-M_alt 'P -1'
_space_group_IT_number 2
_cell_length_a 5.021
_cell_length_b 7.468
_cell_length_c 7.948
_cell_angle_alpha 107.61
_cell_angle_beta 108.02
_cell_angle_gamma 90.21
loop_
_space_group_symop_operation_xyz
'x,y,z'
'-x,-y,-z'
loop_
_atom_site_label
_atom_site_fract_x
_atom_site_fract_y
_atom_site_fract_z
Tl1 0.217 0.331 0.434
Ag1 0.000 0.000 0.000
Pb1 0.105 0.682 0.208
Pb2 0.332 0.996 0.667
Pb3 0.450 0.681 0.896

=====

# AcSbPb2 GGA-PBE relaxed
# Raw formation energy (eV/atom): -0.486
data_AcSbPb2
_chemical_formula_sum 'Ac1 Sb1 Pb2'
_space_group_name_H-M_alt 'P 4/m m m'
_space_group_IT_number 123
_space_group_name_Hall '-P 4 2'
_cell_length_a 4.911
_cell_length_b 4.911
_cell_length_c 5.263
_cell_angle_alpha 90.00
_cell_angle_beta 90.00
_cell_angle_gamma 90.00
loop_
_atom_site_label
_atom_site_fract_x
_atom_site_fract_y
_atom_site_fract_z
Ac1 0.000 0.000 0.000
Sb1 0.500 0.500 0.000
Pb1 0.000 0.500 0.500

=====

# Ba7Ag2Pt2 GGA-PBE relaxed
# Energy relative to the elements (kJ per mole of atoms): -34.3
data_Ba7Ag2Pt2
_chemical_formula_sum 'Ba14 Ag4 Pt4'
_space_group_name_H-M_alt 'C m m m'
_space_group_IT_number 65
_space_group_name_Hall '-C 2 2'
_cell_length_a 9.308
_cell_length_b 12.526
_cell_length_c 7.942
_cell_angle_alpha 90.00
_cell_angle_beta 90.00
_cell_angle_gamma 90.00
loop_
_atom_site_label
_atom_site_fract_x
_atom_site_fract_y
_atom_site_fract_z
Ba1 0.000 0.000 0.000
Ba2 0.000 0.500 0.243
Ba3 0.250 0.250 0.258
Ag1 0.168 0.000 0.500
Pt1 0.000 0.286 0.000

=====

# Na3PbI GGA-PBE relaxed
# Raw formation energy (eV/atom): -0.135
data_Na3PbI
_chemical_formula_sum 'Na3 Pb1 I1'
_space_group_name_H-M_alt 'P m -3 m'
_space_group_IT_number 221
_space_group_name_Hall '-P 4 2 3'
_cell_length_a 6.051
_cell_length_b 6.051
_cell_length_c 6.051
_cell_angle_alpha 90.00
_cell_angle_beta 90.00
_cell_angle_gamma 90.00
loop_
_atom_site_label
_atom_site_fract_x
_atom_site_fract_y
_atom_site_fract_z
Na1 0.000 0.000 0.500
Pb1 0.000 0.000 0.000
I1 0.500 0.500 0.500

=====

# SrPtS GGA-PBE relaxed
# Raw formation energy (eV/atom): -1.184
data_SrPtS
_chemical_formula_sum 'Sr4 Pt4 S4'
_space_group_name_H-M_alt 'C m c m'
_space_group_IT_number 63
_space_group_name_Hall '-C 2c 2'
_cell_length_a 5.861
_cell_length_b 7.867
_cell_length_c 6.063
_cell_angle_alpha 90.00
_cell_angle_beta 90.00
_cell_angle_gamma 90.00
loop_
_atom_site_label
_atom_site_fract_x
_atom_site_fract_y
_atom_site_fract_z
Sr1 0.000 0.154 0.250
Pt1 0.000 0.500 0.000
S1 0.000 0.272 0.750

=====

# Dy4Pd15Au GGA-PBE relaxed
# Energy relative to the elements (kJ per mole of atoms): -68.0
data_Dy4Pd15Au
_chemical_formula_sum 'Dy4 Pd15 Au1'
_space_group_name_H-M_alt 'P 4/m m m'
_space_group_IT_number 123
_space_group_name_Hall '-P 4 2'
_cell_length_a 4.092
_cell_length_b 4.092
_cell_length_c 20.583
_cell_angle_alpha 90.00
_cell_angle_beta 90.00
_cell_angle_gamma 90.00
loop_
_atom_site_label
_atom_site_fract_x
_atom_site_fract_y
_atom_site_fract_z
Dy1 0.000 0.000 0.101
Dy2 0.000 0.000 0.303
Pd1 0.000 0.500 0.000
Pd2 0.000 0.500 0.202
Pd3 0.000 0.500 0.404
Pd4 0.500 0.500 0.102
Pd5 0.500 0.500 0.303
Pd6 0.500 0.500 0.500
Au1 0.000 0.000 0.500

=====

# Pm6DyErSc2 GGA-PBE relaxed
# Energy relative to the elements (kJ per mole of atoms): 12.0
data_Pm6DyErSc2
_chemical_formula_sum 'Pm24 Dy4 Er4 Sc8'
_space_group_name_H-M_alt 'C 1 2/c 1'
_space_group_IT_number 15
_cell_length_a 9.051
_cell_length_b 14.998
_cell_length_c 9.516
_cell_angle_alpha 90.00
_cell_angle_beta 98.25
_cell_angle_gamma 90.00
loop_
_space_group_symop_operation_xyz
'x,y,z'
'-x,-y,-z'
'-x,y,-z+1/2'
'x,-y,z+1/2'
'x+1/2,y+1/2,z'
'-x+1/2,-y+1/2,-z'
'-x+1/2,y+1/2,-z+1/2'
'x+1/2,-y+1/2,z+1/2'
loop_
_atom_site_label
_atom_site_fract_x
_atom_site_fract_y
_atom_site_fract_z
Pm1 0.064 0.174 0.447
Pm2 0.098 0.397 0.619
Pm3 0.213 0.226 0.817
Dy1 0.000 0.408 0.250
Er1 0.000 0.028 0.750
Sc1 0.246 0.049 0.048

=====

# BeCo3Au GGA-PBE relaxed
# Energy relative to the elements (kJ per mole of atoms): 176.7
data_BeCo3Au
_chemical_formula_sum 'Be1 Co3 Au1'
_space_group_name_H-M_alt 'P m -3 m'
_space_group_IT_number 221
_space_group_name_Hall '-P 4 2 3'
_cell_length_a 4.650
_cell_length_b 4.650
_cell_length_c 4.650
_cell_angle_alpha 90.00
_cell_angle_beta 90.00
_cell_angle_gamma 90.00
loop_
_atom_site_label
_atom_site_fract_x
_atom_site_fract_y
_atom_site_fract_z
Be1 0.000 0.000 0.000
Co1 0.000 0.500 0.500
Au1 0.500 0.500 0.500

=====

# USbRhN GGA-PBE relaxed
# Raw formation energy (eV/atom): -0.883
data_USbRhN
_chemical_formula_sum 'U2 Sb2 Rh2 N2'
_space_group_name_H-M_alt 'P 4/n m m'
_space_group_IT_number 129
_cell_length_a 4.060
_cell_length_b 4.060
_cell_length_c 8.709
_cell_angle_alpha 90.00
_cell_angle_beta 90.00
_cell_angle_gamma 90.00
loop_
_space_group_symop_operation_xyz
'x,y,z'
'-x,-y,-z'
'-y+1/2,x,z'
'y+1/2,-x,-z'
'-x+1/2,-y+1/2,z'
'x+1/2,y+1/2,-z'
'y,-x+1/2,z'
'-y,x+1/2,-z'
'x+1/2,-y,-z'
'-x+1/2,y,z'
'-y,-x,-z'
'y,x,z'
'-x,y+1/2,-z'
'x,-y+1/2,z'
'y+1/2,x+1/2,-z'
'-y+1/2,-x+1/2,z'
loop_
_atom_site_label
_atom_site_fract_x
_atom_site_fract_y
_atom_site_fract_z
U1 0.250 0.250 0.123
Sb1 0.250 0.250 0.686
Rh1 0.250 0.750 0.500
N1 0.250 0.750 0.000

=====

# NaMg2TaNb GGA-PBE relaxed
# Energy relative to the elements (kJ per mole of atoms): 204.3
data_NaMg2TaNb
_chemical_formula_sum 'Na1 Mg2 Ta1 Nb1'
_space_group_name_H-M_alt 'P 4/m m m'
_space_group_IT_number 123
_space_group_name_Hall '-P 4 2'
_cell_length_a 5.140
_cell_length_b 5.140
_cell_length_c 5.073
_cell_angle_alpha 90.00
_cell_angle_beta 90.00
_cell_angle_gamma 90.00
loop_
_atom_site_label
_atom_site_fract_x
_atom_site_fract_y
_atom_site_fract_z
Na1 0.000 0.000 0.000
Mg1 0.000 0.500 0.500
Ta1 0.000 0.000 0.500
Nb1 0.500 0.500 0.000

=====

Uncorrected energy across the listed records, respectively: -23.70 -10.97 -29.51 -17.59 -70.31 -9.89 -61.61 -113.68 -196.34 -19.16 -69.24 -15.84 eV/cell.